VASP calculation (PBE) on a relaxed structure of Be3ReSi.

POSCAR file:
```
Be3ReSi
1.0
4.003 0.000 0.000
0.000 4.003 0.000
0.000 0.000 4.003
Be Re Si
3 1 1
Direct
0.000 0.000 0.500
0.000 0.500 0.000
0.500 0.000 0.000
0.500 0.500 0.500
0.000 0.000 0.000
```

Computed properties:
**DOS(E_F)**: 2.5 states/eV per cell
**E_tot**: -22.5 eV/cell
**Calculated volume**: 12.83 A^3/atom
**Distance to the lowest polymorph of the same formula**: 0.096 eV/atom
**Formation energy (no corrections)**: 1319 meV/atom

***

VASP calculation (PBE) on a relaxed structure of Pm2SmDy.

POSCAR file:
```
Pm2SmDy
1.0
-1.862 2.993 6.034
1.862 -2.993 6.034
1.862 2.993 -6.034
Pm Sm Dy
2 1 1
Direct
0.000 0.000 0.000
0.742 0.242 0.500
0.485 0.485 0.000
0.243 0.743 0.500
```

Computed properties:
**DOS(E_F)**: 8.5 states/eV per cell
**E_tot**: -18.4 eV/cell
**Formation energy from the elements**: 0.116 eV per atom
**Calculated volume**: 33.63 A^3/atom
**Distance to the lowest polymorph of the same formula**: 0.102 eV/atom

***

VASP calculation (PBE) on a relaxed structure of Dy6InAs2S3.

POSCAR file:
```
Dy6InAs2S3
1.0
8.872 -2.008 0.000
8.872 2.008 0.000
-1.876 0.000 7.997
Dy In As S
6 1 2 3
Direct
0.001 0.001 0.231
0.328 0.328 0.414
0.332 0.332 0.918
0.668 0.668 0.082
0.672 0.672 0.586
0.999 0.999 0.769
0.500 0.500 0.500
0.167 0.167 0.834
0.833 0.833 0.166
0.168 0.168 0.331
0.500 0.500 0.000
0.832 0.832 0.669
```

Computed properties:
**DOS(E_F)**: 4.0 states/eV per cell
**E_tot**: -70.5 eV/cell
**Calculated volume**: 23.74 A^3/atom
**Formation energy (no corrections)**: -1536 meV/atom

***

VASP calculation (PBE) on a relaxed structure of KCdP.

POSCAR file:
```
KCdP
1.0
-2.212 2.990 6.095
2.212 -2.990 6.095
2.212 2.990 -6.095
K Cd P
2 2 2
Direct
0.247 0.000 0.247
0.753 0.000 0.753
0.276 0.276 0.000
0.724 0.724 0.000
0.168 0.668 0.500
0.832 0.332 0.500
```

Computed properties:
**DOS(E_F)**: 1.6 states/eV per cell
**E_tot**: -15.3 eV/cell
**Formation energy from the elements**: -0.073 eV per atom
**Calculated volume**: 26.88 A^3/atom

***

VASP calculation (PBE) on a relaxed structure of Pm3Dy3Ho5.

POSCAR file:
```
Pm3Dy3Ho5
1.0
9.636 0.000 0.000
-4.818 8.345 0.000
0.000 0.000 5.450
Pm Dy Ho
3 3 5
Direct
0.000 0.366 0.000
0.366 0.000 0.000
0.634 0.634 0.000
0.000 0.549 0.500
0.451 0.451 0.500
0.549 0.000 0.500
0.000 0.733 0.000
0.267 0.267 0.000
0.333 0.667 0.000
0.667 0.333 0.000
0.733 0.000 0.000
```

Computed properties:
**DOS(E_F)**: 17.1 states/eV per cell
**E_tot**: -42.0 eV/cell
**Formation energy from the elements**: 0.813 eV per atom
**Calculated volume**: 39.84 A^3/atom

***

VASP calculation (PBE) on a relaxed structure of TbPrAl2.

POSCAR file:
```
TbPrAl2
1.0
3.693 0.000 0.000
0.000 3.693 0.000
0.000 0.000 7.350
Tb Pr Al
1 1 2
Direct
0.000 0.000 0.000
0.000 0.000 0.500
0.500 0.500 0.234
0.500 0.500 0.766
```

Computed properties:
**DOS(E_F)**: 1.7 states/eV per cell
**E_tot**: -18.4 eV/cell
**Formation energy from the elements**: -0.371 eV per atom
**Calculated volume**: 25.06 A^3/atom

***

VASP calculation (PBE) on a relaxed structure of Ce2HfAu.

POSCAR file:
```
Ce2HfAu
1.0
1.541 0.890 11.291
-1.541 0.890 11.291
0.000 -1.780 11.291
Ce Hf Au
2 1 1
Direct
0.088 0.088 0.088
0.912 0.912 0.912
0.000 0.000 0.000
0.500 0.500 0.500
```

Computed properties:
**DOS(E_F)**: 9.2 states/eV per cell
**E_tot**: -24.8 eV/cell
**Formation energy from the elements**: 0.079 eV per atom
**Calculated volume**: 23.23 A^3/atom
**Distance to the lowest polymorph of the same formula**: 0.250 eV/atom

***

VASP calculation (PBE) on a relaxed structure of KTlPdBr6.

POSCAR file:
```
KTlPdBr6
1.0
6.935 0.000 0.000
-2.513 6.468 0.000
-0.643 -0.927 7.248
K Tl Pd Br
1 1 1 6
Direct
0.000 0.000 0.000
0.347 0.653 0.500
0.703 0.297 0.500
0.035 0.325 0.678
0.054 0.608 0.223
0.392 0.946 0.777
0.420 0.320 0.290
0.675 0.966 0.322
0.680 0.580 0.710
```

Computed properties:
**E_tot**: -24.8 eV/cell
**Calculated volume**: 36.12 A^3/atom
**Formation energy (no corrections)**: -681 meV/atom

***

Please write out number 8 again, unchanged.
VASP calculation (PBE) on a relaxed structure of KTlPdBr6.

POSCAR file:
```
KTlPdBr6
1.0
6.935 0.000 0.000
-2.513 6.468 0.000
-0.643 -0.927 7.248
K Tl Pd Br
1 1 1 6
Direct
0.000 0.000 0.000
0.347 0.653 0.500
0.703 0.297 0.500
0.035 0.325 0.678
0.054 0.608 0.223
0.392 0.946 0.777
0.420 0.320 0.290
0.675 0.966 0.322
0.680 0.580 0.710
```

Computed properties:
**E_tot**: -24.8 eV/cell
**Calculated volume**: 36.12 A^3/atom
**Formation energy (no corrections)**: -681 meV/atom